# TmThZnOs PBE-GGA optimized geometry
data_TmThZnOs
_chemical_formula_sum 'Tm4 Th4 Zn4 Os4'
_cell_length_a 7.0598
_cell_length_b 7.0598
_cell_length_c 7.0598
_cell_angle_alpha 90.00
_cell_angle_beta 90.00
_cell_angle_gamma 90.00
_space_group_name_H-M_alt 'F -4 3 m'
_space_group_IT_number 216
_space_group_name_Hall 'F -4 2 3'
loop_
_atom_site_label
_atom_site_type_symbol
_atom_site_fract_x
_atom_site_fract_y
_atom_site_fract_z
_atom_site_occupancy
Tm1 Tm 0.0000 0.0000 0.0000 1
Th1 Th 0.0000 0.0000 0.5000 1
Zn1 Zn 0.2500 0.2500 0.7500 1
Os1 Os 0.2500 0.2500 0.2500 1
# **Formation energy**: -280 meV per atom
# **V**: 21.99 Å³ per atom
# **Magnetization**: 0.0 μB/cell
# **Density**: 12.40 g cm⁻³

# Mg2ReSi PBE-GGA optimized geometry
data_Mg2ReSi
_chemical_formula_sum 'Mg6 Re3 Si3'
_cell_length_a 2.8472
_cell_length_b 2.8472
_cell_length_c 28.5047
_cell_angle_alpha 90.00
_cell_angle_beta 90.00
_cell_angle_gamma 120.00
_space_group_name_H-M_alt 'R -3 m'
_space_group_IT_number 166
_space_group_name_Hall '-R 3 2"'
loop_
_atom_site_label
_atom_site_type_symbol
_atom_site_fract_x
_atom_site_fract_y
_atom_site_fract_z
_atom_site_occupancy
Mg1 Mg 0.0000 0.0000 0.2479 1
Re1 Re 0.0000 0.0000 0.5000 1
Si1 Si 0.0000 0.0000 0.0000 1
# **Energy relative to the elements, uncorrected**: 1.24 eV per formula unit
# **V**: 16.68 Å³ per atom
# **Magnetization**: 0.0 μB/cell
# **Density**: 6.54 g cm⁻³

# RuPbCl2 PBE-GGA optimized geometry
data_RuPbCl2
_chemical_formula_sum 'Ru2 Pb2 Cl4'
_cell_length_a 5.3959
_cell_length_b 10.8145
_cell_length_c 3.5972
_cell_angle_alpha 90.00
_cell_angle_beta 90.00
_cell_angle_gamma 90.00
_space_group_name_H-M_alt 'C m m m'
_space_group_IT_number 65
_space_group_name_Hall '-C 2 2'
loop_
_atom_site_label
_atom_site_type_symbol
_atom_site_fract_x
_atom_site_fract_y
_atom_site_fract_z
_atom_site_occupancy
Ru1 Ru 0.0000 0.0000 0.0000 1
Pb1 Pb 0.0000 0.5000 0.0000 1
Cl1 Cl 0.0000 0.1481 0.5000 1
# **Energy relative to the elements, uncorrected**: -0.66 eV per formula unit
# **V**: 26.24 Å³ per atom
# **Offset from the most stable computed form**: 33.1 meV/atom
# **Magnetization**: 0.0 μB/cell
# **Density**: 6.00 g cm⁻³

# BaGaN2 PBE-GGA optimized geometry
data_BaGaN2
_chemical_formula_sum 'Ba3 Ga3 N6'
_cell_length_a 4.2778
_cell_length_b 4.2778
_cell_length_c 18.6548
_cell_angle_alpha 90.00
_cell_angle_beta 90.00
_cell_angle_gamma 120.00
_space_group_name_H-M_alt 'R -3 m'
_space_group_IT_number 166
_space_group_name_Hall '-R 3 2"'
loop_
_atom_site_label
_atom_site_type_symbol
_atom_site_fract_x
_atom_site_fract_y
_atom_site_fract_z
_atom_site_occupancy
Ba1 Ba 0.0000 0.0000 0.0000 1
Ga1 Ga 0.0000 0.0000 0.5000 1
N1 N 0.0000 0.0000 0.4058 1
# **Energy relative to the elements, uncorrected**: 0.43 eV per formula unit
# **V**: 24.64 Å³ per atom
# **Magnetization**: 3.0 μB/cell
# **Density**: 3.96 g cm⁻³

# Mg12ZrSc3 PBE-GGA optimized geometry
data_Mg12ZrSc3
_chemical_formula_sum 'Mg12 Zr1 Sc3'
_cell_length_a 4.4672
_cell_length_b 4.4672
_cell_length_c 18.2220
_cell_angle_alpha 90.00
_cell_angle_beta 90.00
_cell_angle_gamma 90.00
_space_group_name_H-M_alt 'P 4/m m m'
_space_group_IT_number 123
_space_group_name_Hall '-P 4 2'
loop_
_atom_site_label
_atom_site_type_symbol
_atom_site_fract_x
_atom_site_fract_y
_atom_site_fract_z
_atom_site_occupancy
Mg1 Mg 0.0000 0.0000 0.0000 1
Mg2 Mg 0.0000 0.0000 0.2484 1
Mg3 Mg 0.0000 0.0000 0.5000 1
Mg4 Mg 0.0000 0.5000 0.1218 1
Mg5 Mg 0.0000 0.5000 0.3733 1
Zr1 Zr 0.5000 0.5000 0.0000 1
Sc1 Sc 0.5000 0.5000 0.2469 1
Sc2 Sc 0.5000 0.5000 0.5000 1
# **Formation energy**: -25 meV per atom
# **V**: 22.73 Å³ per atom
# **Magnetization**: 0.0 μB/cell
# **Density**: 2.36 g cm⁻³

# Hf2FeBIr PBE-GGA optimized geometry
data_Hf2FeBIr
_chemical_formula_sum 'Hf2 Fe1 B1 Ir1'
_cell_length_a 5.0096
_cell_length_b 5.0096
_cell_length_c 3.9238
_cell_angle_alpha 90.00
_cell_angle_beta 90.00
_cell_angle_gamma 90.00
_space_group_name_H-M_alt 'P 4/m m m'
_space_group_IT_number 123
_space_group_name_Hall '-P 4 2'
loop_
_atom_site_label
_atom_site_type_symbol
_atom_site_fract_x
_atom_site_fract_y
_atom_site_fract_z
_atom_site_occupancy
Hf1 Hf 0.0000 0.5000 0.0000 1
Fe1 Fe 0.0000 0.0000 0.5000 1
B1 B 0.5000 0.5000 0.5000 1
Ir1 Ir 0.5000 0.5000 0.0000 1
# **Formation energy**: 590 meV per atom
# **V**: 19.69 Å³ per atom
# **Magnetization**: 1.7 μB/cell
# **Density**: 10.39 g cm⁻³